(1)
K3Bi4O8 after structural relaxation. Source: Alexandria via LeMat-Bulk, functional PBE-GGA.

```
K3Bi4O8
1.0
5.0594 -5.1708 0.0000
5.0594 5.1708 0.0000
-4.9514 0.0000 5.1630
K Bi O
3 4 8
Direct
0.0000 0.0000 0.0000
0.0000 0.5000 0.0000
0.5000 0.0000 0.0000
0.0000 0.5000 0.5000
0.5000 0.0000 0.5000
0.5000 0.5000 0.0000
0.5000 0.5000 0.5000
0.2662 0.7338 0.0000
0.2714 0.2714 0.5170
0.2751 0.7249 0.5000
0.3074 0.3074 0.0764
0.6926 0.6926 0.9236
0.7249 0.2751 0.5000
0.7286 0.7286 0.4830
0.7338 0.2662 0.0000
```

Summary:
Uncorrected energy = -4.99 eV per atom
Size of the total moment = 0.06 μB/atom
Symmetry = No. 12
ΔE_f (raw) = -1.094 eV/atom

***

(2)
K6Bi6O19 after structural relaxation. Source: Alexandria via LeMat-Bulk, functional PBE-GGA.

```
K6Bi6O19
1.0
7.0762 -5.1260 0.0000
7.0762 5.1260 0.0000
-7.0634 0.0000 7.3894
K Bi O
6 6 19
Direct
0.1260 0.1260 0.2620
0.4430 0.1449 0.9900
0.5151 0.1611 0.6645
0.8389 0.4849 0.3355
0.8551 0.5570 0.0100
0.8740 0.8740 0.7380
0.0070 0.3120 0.6602
0.1883 0.8117 0.5000
0.3419 0.6481 0.1552
0.3519 0.6581 0.8448
0.5066 0.4934 0.5000
0.6880 0.9930 0.3398
0.1420 0.4235 0.9456
0.1438 0.4416 0.6264
0.1695 0.8043 0.2741
0.1957 0.8305 0.7259
0.2076 0.5146 0.3753
0.2092 0.7908 0.0000
0.2209 0.1028 0.6486
0.4688 0.1994 0.3437
0.4854 0.7924 0.6247
0.4878 0.5122 0.0000
0.5035 0.4823 0.2817
0.5177 0.4965 0.7183
0.5584 0.8562 0.3736
0.5765 0.8580 0.0544
0.7944 0.2056 0.0000
0.8006 0.5312 0.6563
0.8379 0.1505 0.6335
0.8495 0.1621 0.3665
0.8972 0.7791 0.3514
```

Summary:
Uncorrected energy = -5.05 eV per atom
Size of the total moment = 0.07 μB/atom
Symmetry = No. 5
ΔE_f (raw) = -1.045 eV/atom